## 1
## SrCe2Ir (PBE)

Data for a geometry-optimized SrCe2Ir structure.

abc: 11.004 11.004 11.004
angles: 21.33 21.33 21.33
Fractional positions:
1 Sr 0.000 0.000 0.000
2 Ce 0.120 0.120 0.120
3 Ce 0.880 0.880 0.880
4 Ir 0.500 0.500 0.500

Computed properties:
Fermi-level density of states, states/eV per atom: 3.46
Magnetic moment, μB/f.u.: 2.12
SG: R-3m

=====

## 2
## SrCe2Ir (PBE)

Data for a geometry-optimized SrCe2Ir structure.

abc: 9.861 9.861 9.861
angles: 24.37 24.37 24.37
Fractional positions:
1 Sr 0.000 0.000 0.000
2 Ce 0.549 0.549 0.549
3 Ce 0.780 0.780 0.780
4 Ir 0.164 0.164 0.164

Computed properties:
Fermi-level density of states, states/eV per atom: 3.64
Magnetic moment, μB/f.u.: 2.17
SG: R3m

=====

Verdict on stability: 1 comes out at the bottom.

=====

## 1
## CeTaIr2 (PBE)

Data for a geometry-optimized CeTaIr2 structure.

abc: 5.550 5.550 5.550
angles: 46.38 46.38 46.38
Fractional positions:
1 Ce 0.000 0.000 0.000
2 Ta 0.500 0.500 0.500
3 Ir 0.218 0.218 0.218
4 Ir 0.782 0.782 0.782

Computed properties:
Fermi-level density of states, states/eV per atom: 1.19
Magnetic moment, μB/f.u.: 0.00
SG: R-3m

=====

## 2
## CeTaIr2 (PBE)

Data for a geometry-optimized CeTaIr2 structure.

abc: 3.068 3.068 7.752
angles: 90.00 90.00 90.00
Fractional positions:
1 Ce 0.000 0.000 0.000
2 Ta 0.000 0.000 0.500
3 Ir 0.500 0.500 0.285
4 Ir 0.500 0.500 0.715

Computed properties:
Fermi-level density of states, states/eV per atom: 0.71
Magnetic moment, μB/f.u.: 0.00
SG: P4/mmm

=====

Verdict on stability: 1 comes out at the bottom.